Entry from Alexandria via LeMat-Bulk: crystalline Na2GaBi at its relaxed geometry (PBE).

The structure in extended XYZ format:
```
4
Lattice="4.598 0.000 0.000 0.000 4.598 0.000 0.000 0.000 4.872" Properties=species:S:1:pos:R:3 pbc="T T T"
Na 0.000 2.299 0.000
Na 2.299 0.000 0.000
Ga 0.000 0.000 2.436
Bi 2.299 2.299 2.436
```

ρ: 5.24 g/cm3
Space-group type: P4/mmm (123)
E: -2.534 eV per atom